The following is a PBE calculation of Pa2CdGe3Rh4 after structural relaxation, from Alexandria via LeMat-Bulk.

```
data_Pa2CdGe3Rh4
_chemical_formula_sum 'Pa2 Cd1 Ge3 Rh4'
_cell_length_a 4.014
_cell_length_b 4.014
_cell_length_c 11.413
_cell_angle_alpha 90.00
_cell_angle_beta 90.00
_cell_angle_gamma 90.00
_space_group_name_H-M_alt 'P -4 m 2'
_space_group_IT_number 115
_space_group_name_Hall 'P -4 -2'
loop_
_atom_site_label
_atom_site_type_symbol
_atom_site_fract_x
_atom_site_fract_y
_atom_site_fract_z
Pa1 Pa 0.000 0.500 0.240
Cd1 Cd 0.000 0.000 0.500
Ge1 Ge 0.000 0.500 0.877
Ge2 Ge 0.500 0.500 0.500
Rh1 Rh 0.000 0.000 0.000
Rh2 Rh 0.000 0.500 0.666
Rh3 Rh 0.500 0.500 0.000
```

Values from the calculation:
**Formation enthalpy at 0 K**: -6.4 eV/f.u.
**Spin magnetization**: 0.0 μB per cell